# Pr4Ni2I5, optimized geometry, DFT PBE-GGA
data_Pr4Ni2I5
_cell_length_a 4.209
_cell_length_b 9.013
_cell_length_c 19.909
_cell_angle_alpha 90.00
_cell_angle_beta 90.00
_cell_angle_gamma 90.00
_space_group_name_H-M_alt 'I m m m'
_space_group_IT_number 71
_space_group_name_Hall '-I 2 2'
loop_
_atom_site_label
_atom_site_type_symbol
_atom_site_fract_x
_atom_site_fract_y
_atom_site_fract_z
Pr1 Pr 0.000 0.000 0.180
Pr2 Pr 0.000 0.297 0.500
Ni1 Ni 0.000 0.000 0.055
I1 I 0.000 0.223 0.334
I2 I 0.000 0.500 0.000
# Fermi-level density of states = 7.3 states/eV/f.u.
# ΔE_f (raw) = -917.2 kJ/mol of formula units